# 1
The following is a DFT calculation (PBE with a Hubbard U) of crystalline SmV2InO8 at its relaxed geometry.

Total energy: -7.3410 eV/atom
N(E_F): 0.00 states/eV/cell

Lattice parameters (Å, degrees): 7.1680 7.1680 6.4062 90.00 90.00 90.00
Space group I-4m2 (No. 119)
Unique sites:
Sm1 0.0000 0.0000 0.0000 x2
V1 0.0000 0.0000 0.5000 x2
V2 0.0000 0.5000 0.2500 x2
In1 0.0000 0.5000 0.7500 x2
O1 0.0000 0.1900 0.6714 x8
O2 0.0000 0.3161 0.0737 x8



# 2
The following is a DFT calculation (PBE with a Hubbard U) of crystalline SmIn2WO8 at its relaxed geometry.

Total energy: -6.7170 eV/atom
N(E_F): 8.39 states/eV/cell

Lattice parameters (Å, degrees): 6.9578 7.0099 6.7978 90.00 90.00 90.00
Space group Cmmm (No. 65)
Unique sites:
Sm1 0.0000 0.0000 0.0000 x2
In1 0.0000 0.5000 0.2603 x4
W1 0.0000 0.0000 0.5000 x2
O1 0.0000 0.1876 0.2900 x8
O2 0.1794 0.5000 0.0000 x4
O3 0.2145 0.5000 0.5000 x4



- The lowest N(E_F) belongs to which entry?
  SmV2InO8



- The highest N(E_F) belongs to which entry?
  SmIn2WO8